Record 1
NdHo3Bi3 | PBE | optimized geometry

ΔE_f = -0.6434 eV/atom
D(E_F) = 0.71 states/eV/atom
Volume = 1383.6 Å³/cell
Magnetization = 0.000 μB per atom

Unit cell a=9.2117 b=9.2117 c=18.8276 alpha=90.00 beta=90.00 gamma=120.00
With the nearest neighbours (Å) after each atom.
Space group R-3 (No. 148, hexagonal axes)
One atom of each set of equivalent atoms:
Nd (0.0000, 0.0000, 0.1659) [6 per cell]  6 Bi 3.28-3.29
Ho (0.0007, 0.2603, 0.5815) [18 per cell]  5 Bi 3.13-3.35
Bi (0.0021, 0.3854, 0.4144) [18 per cell]  5 Ho 3.12-3.35, 2 Nd 3.28-3.29

---

Record 2
NdHoBi | PBE | optimized geometry

ΔE_f = -0.4748 eV/atom
D(E_F) = 1.00 states/eV/atom
Volume = 184.2 Å³/cell
Magnetization = 0.295 μB per atom

Unit cell a=4.1139 b=4.1139 c=10.8837 alpha=90.00 beta=90.00 gamma=90.00
With the nearest neighbours (Å) after each atom.
Space group I4mm (No. 107)
One atom of each set of equivalent atoms:
Nd (0.0000, 0.0000, 0.0000) [2 per cell]  5 Ho 3.39-3.56, 5 Bi 3.42-3.64
Ho (0.0000, 0.0000, 0.3115) [2 per cell]  4 Bi 3.32, 5 Nd 3.39-3.56
Bi (0.0000, 0.0000, 0.6654) [2 per cell]  4 Ho 3.32, 5 Nd 3.42-3.64

---

Record 3
NdHo4Bi5 | PBE | optimized geometry

ΔE_f = -0.8547 eV/atom
D(E_F) = 0.20 states/eV/atom
Volume = 640.6 Å³/cell
Magnetization = 0.000 μB per atom

Unit cell a=4.4913 b=6.3540 c=22.4464 alpha=90.00 beta=90.00 gamma=90.00
With the nearest neighbours (Å) after each atom.
Space group Immm (No. 71)
One atom of each set of equivalent atoms:
Nd (0.0000, 0.0000, 0.0000) [2 per cell]  6 Bi 3.18-3.23
Ho (0.0000, 0.0000, 0.2019) [4 per cell]  6 Bi 3.15-3.18
Ho (0.0000, 0.0000, 0.4000) [4 per cell]  6 Bi 3.16-3.18
Bi (0.0000, 0.5000, 0.0000) [2 per cell]  4 Ho 3.18, 2 Nd 3.18
Bi (0.0000, 0.5000, 0.1992) [4 per cell]  6 Ho 3.16-3.18
Bi (0.0000, 0.5000, 0.3963) [4 per cell]  4 Ho 3.15-3.18, 2 Nd 3.23

---

Record 4
NdHo2Bi | PBE | optimized geometry

Energy above the lowest structure with this stoichiometry = 0 meV per atom
ΔE_f = -0.4630 eV/atom
D(E_F) = 1.43 states/eV/atom
Volume = 251.3 Å³/cell
Magnetization = 0.000 μB per atom

Unit cell a=4.6721 b=4.6515 c=11.7983 alpha=90.00 beta=101.43 gamma=90.00
With the nearest neighbours (Å) after each atom.
Space group P2_1/m (No. 11)
One atom of each set of equivalent atoms:
Nd (0.1939, 0.2500, 0.3873) [2 per cell]  5 Bi 3.31-3.37
Ho (0.0576, 0.7500, 0.1153) [2 per cell]  8 Ho 3.30-3.55, 2 Bi 3.38
Ho (0.4419, 0.7500, 0.8838) [2 per cell]  8 Ho 3.30-3.55, 2 Bi 3.37
Bi (0.3362, 0.2500, 0.6733) [2 per cell]  5 Nd 3.31-3.37, 4 Ho 3.37-3.38

---

Record 5
NdHo2Bi4 | PBE | optimized geometry

ΔE_f = -0.6243 eV/atom
D(E_F) = 0.44 states/eV/atom
Volume = 886.0 Å³/cell
Magnetization = 0.000 μB per atom

Unit cell a=4.5328 b=11.4200 c=17.1162 alpha=90.00 beta=90.00 gamma=90.00
With the nearest neighbours (Å) after each atom.
Space group Cmcm (No. 63)
One atom of each set of equivalent atoms:
Nd (0.0000, 0.0546, 0.2500) [4 per cell]  7 Bi 3.30-3.37
Ho (0.0000, 0.3408, 0.0746) [8 per cell]  6 Bi 3.00-3.31
Bi (0.0000, 0.0000, 0.0000) [4 per cell]  4 Ho 3.17, 4 Bi 3.50
Bi (0.0000, 0.3450, 0.2500) [4 per cell]  2 Ho 3.00, 3 Nd 3.30-3.32
Bi (0.0000, 0.3492, 0.6190) [8 per cell]  3 Ho 3.23-3.31, 2 Nd 3.37, 2 Bi 3.50

---

Record 6
NdHo5Bi6 | PBE | optimized geometry

ΔE_f = -0.8516 eV/atom
D(E_F) = 0.17 states/eV/atom
Volume = 766.7 Å³/cell
Magnetization = 0.000 μB per atom

Unit cell a=7.7729 b=13.4632 c=7.7723 alpha=90.00 beta=109.51 gamma=90.00
With the nearest neighbours (Å) after each atom.
Space group C2/m (No. 12)
One atom of each set of equivalent atoms:
Nd (0.0000, 0.0000, 0.0000) [2 per cell]  6 Bi 3.22-3.23
Ho (0.0000, 0.1639, 0.5000) [4 per cell]  6 Bi 3.15-3.18
Ho (0.0000, 0.3323, 0.0000) [4 per cell]  6 Bi 3.16-3.17
Ho (0.0000, 0.5000, 0.5000) [2 per cell]  6 Bi 3.13-3.17
Bi (0.2444, 0.5000, 0.2514) [4 per cell]  5 Ho 3.13-3.17, 1 Nd 3.22
Bi (0.2456, 0.3306, 0.7457) [8 per cell]  5 Ho 3.15-3.18, 1 Nd 3.23

---

Record 7
Nd3HoBi3 | PBE | optimized geometry

Energy above the lowest structure with this stoichiometry = 0 meV per atom
ΔE_f = -0.7945 eV/atom
D(E_F) = 1.17 states/eV/atom
Volume = 889.1 Å³/cell
Magnetization = 0.000 μB per atom

Unit cell a=9.6157 b=9.6157 c=9.6157 alpha=90.00 beta=90.00 gamma=90.00
With the nearest neighbours (Å) after each atom.
Space group P2_13 (No. 198)
One atom of each set of equivalent atoms:
Nd (0.0671, 0.4329, 0.5671) [4 per cell]  6 Bi 3.24-3.44
Nd (0.1759, 0.8241, 0.3241) [4 per cell]  6 Bi 3.22-3.45
Nd (0.1783, 0.1783, 0.1783) [4 per cell]  6 Bi 3.21-3.48
Ho (0.0737, 0.5737, 0.9263) [4 per cell]  6 Bi 3.17-3.44
Bi (0.0023, 0.2568, 0.8715) [12 per cell]  2 Ho 3.17-3.44, 6 Nd 3.21-3.48

---

Record 8
NdHo2Bi | PBE | optimized geometry

Energy above the lowest structure with this stoichiometry = 490 meV per atom
ΔE_f = 0.0275 eV/atom
D(E_F) = 0.83 states/eV/atom
Volume = 398.4 Å³/cell
Magnetization = 0.000 μB per atom

Unit cell a=3.5662 b=3.5662 c=36.1761 alpha=90.00 beta=90.00 gamma=120.00
With the nearest neighbours (Å) after each atom.
Space group R-3m (No. 166, hexagonal axes)
One atom of each set of equivalent atoms:
Nd (0.0000, 0.0000, 0.0000) [3 per cell]  6 Ho 3.55, 6 Nd 3.57
Ho (0.0000, 0.0000, 0.4131) [6 per cell]  1 Bi 3.14
Bi (0.0000, 0.0000, 0.5000) [3 per cell]  2 Ho 3.14

---

Record 9
NdHoBi | PBE | optimized geometry

ΔE_f = -0.6478 eV/atom
D(E_F) = 0.88 states/eV/atom
Volume = 188.0 Å³/cell
Magnetization = 0.000 μB per atom

Unit cell a=4.6099 b=4.6099 c=8.8455 alpha=90.00 beta=90.00 gamma=90.00
With the nearest neighbours (Å) after each atom.
Space group P4/nmm (No. 129, origin choice 2)
One atom of each set of equivalent atoms:
Nd (0.2500, 0.2500, 0.1505) [2 per cell]  5 Bi 3.33
Ho (0.2500, 0.7500, 0.5000) [2 per cell]  4 Ho 3.26, 4 Bi 3.34
Bi (0.2500, 0.2500, 0.7740) [2 per cell]  5 Nd 3.33, 4 Ho 3.34

---

Record 10
Nd5Ho2Bi5 | PBE | optimized geometry

ΔE_f = -0.6690 eV/atom
D(E_F) = 0.75 states/eV/atom
Volume = 825.0 Å³/cell
Magnetization = 0.000 μB per atom

Unit cell a=14.9966 b=4.5371 c=13.0690 alpha=90.00 beta=111.92 gamma=90.00
With the nearest neighbours (Å) after each atom.
Space group C2/m (No. 12)
One atom of each set of equivalent atoms:
Nd (0.0000, 0.0000, 0.0000) [2 per cell]  4 Bi 3.22
Nd (0.1627, 0.0000, 0.5350) [4 per cell]  5 Bi 3.24-3.46
Nd (0.2214, 0.0000, 0.8416) [4 per cell]  5 Bi 3.11-3.35
Ho (0.0499, 0.5000, 0.2923) [4 per cell]  4 Bi 3.00-3.11
Bi (0.0000, 0.5000, 0.5000) [2 per cell]  2 Ho 3.07, 4 Nd 3.24
Bi (0.1157, 0.5000, 0.9256) [4 per cell]  1 Ho 3.00, 5 Nd 3.11-3.22
Bi (0.1889, 0.0000, 0.2830) [4 per cell]  2 Ho 3.11, 5 Nd 3.35-3.46

---

Record 11
Nd3HoBi3 | PBE | optimized geometry

Energy above the lowest structure with this stoichiometry = 212 meV per atom
ΔE_f = -0.5821 eV/atom
D(E_F) = 0.76 states/eV/atom
Volume = 524.4 Å³/cell
Magnetization = 0.000 μB per atom

Unit cell a=9.7292 b=9.7292 c=6.3970 alpha=90.00 beta=90.00 gamma=120.00
With the nearest neighbours (Å) after each atom.
Space group P6_3/m (No. 176)
One atom of each set of equivalent atoms:
Nd (0.0749, 0.3920, 0.2500) [6 per cell]  5 Bi 3.17-3.44
Ho (0.3333, 0.6667, 0.7500) [2 per cell]  3 Bi 3.02
Bi (0.0479, 0.3357, 0.7500) [6 per cell]  1 Ho 3.02, 3 Nd 3.17-3.23

---

Record 12
NdHo5Bi5 | PBE | optimized geometry

ΔE_f = -0.6519 eV/atom
D(E_F) = 0.37 states/eV/atom
Volume = 739.3 Å³/cell
Magnetization = 0.000 μB per atom

Unit cell a=13.9365 b=6.2965 c=8.8668 alpha=90.00 beta=108.17 gamma=90.00
With the nearest neighbours (Å) after each atom.
Space group C2/m (No. 12)
One atom of each set of equivalent atoms:
Nd (0.0000, 0.0000, 0.0000) [2 per cell]  6 Bi 3.15-3.23
Ho (0.0000, 0.0000, 0.5000) [2 per cell]  4 Bi 3.10-3.14
Ho (0.1604, 0.5000, 0.3360) [4 per cell]  5 Bi 3.10-3.15
Ho (0.1657, 0.5000, 0.8315) [4 per cell]  5 Bi 3.12-3.16
Bi (0.0000, 0.5000, 0.0000) [2 per cell]  4 Ho 3.12, 2 Nd 3.15
Bi (0.1694, 0.0000, 0.3412) [4 per cell]  5 Ho 3.10-3.15, 1 Nd 3.20
Bi (0.1726, 0.0000, 0.8278) [4 per cell]  5 Ho 3.10-3.16, 1 Nd 3.23